Compound: La2CdSiS
Source: Alexandria
Functional: PBE-GGA
Structure: optimized geometry

Lattice parameters (Å, degrees): 5.9498 4.5259 5.9498 90.00 90.00 90.00
With the nearest neighbours (Å) after each atom.
Fractional coordinates of all 5 atoms:
S 0.5000 0.5000 0.5000  8 La 3.74
Cd 0.0000 0.0000 0.0000  2 Si 2.26
Si 0.0000 0.5000 0.0000  2 Cd 2.26
La 0.0000 0.0000 0.5000  2 Cd 2.97
La 0.5000 0.0000 0.0000  2 Cd 2.97

Summary:
Total DFT energy (no corrections): -4.005 eV/atom
Crystal system: tetragonal
Volume: 160.2 Å³/f.u.
ΔE_f (raw): 0.059 eV/atom
Energy above the most stable polymorph in this dataset: 544 meV/atom
Total magnetization: 0.86 μB per cell